# 1
Here is a crystal of Ce4SnO10 relaxed with PBEsol from Alexandria. Energies are from SCAN.

## Properties
Symmetry ... R-3m, No. 166
Relative energy among the computed polymorphs ... 0 meV/atom

Lattice parameters (Å, degrees): 15.574 15.574 15.574 13.94 13.94 13.94
Fractional positions:
Ce1 0.102 0.102 0.102
Ce2 0.299 0.299 0.299
Ce3 0.701 0.701 0.701
Ce4 0.898 0.898 0.898
Sn1 0.500 0.500 0.500
O1 0.051 0.051 0.051
O2 0.153 0.153 0.153
O3 0.248 0.248 0.248
O4 0.350 0.350 0.350
O5 0.454 0.454 0.454
O6 0.546 0.546 0.546
O7 0.650 0.650 0.650
O8 0.752 0.752 0.752
O9 0.847 0.847 0.847
O10 0.949 0.949 0.949

# 2
Here is a crystal of InAuSCl2 relaxed with PBEsol from Alexandria. Energies are from SCAN.

## Properties
Symmetry ... P4/mmm, No. 123
Relative energy among the computed polymorphs ... 0 meV/atom

Lattice parameters (Å, degrees): 4.894 4.894 4.902 90.00 90.00 90.00
Fractional positions:
In1 0.000 0.000 0.000
Au1 0.500 0.500 0.500
S1 0.500 0.500 0.000
Cl1 0.000 0.500 0.500
Cl2 0.500 0.000 0.500

# 3
Here is a crystal of YCr2Ir relaxed with PBEsol from Alexandria. Energies are from SCAN.

## Properties
E_form ... 0.272 eV/atom
Symmetry ... P4/mmm, No. 123
Relative energy among the computed polymorphs ... 229 meV/atom

Lattice parameters (Å, degrees): 4.489 4.489 2.974 90.00 90.00 90.00
Fractional positions:
Y1 0.000 0.000 0.000
Cr1 0.000 0.500 0.500
Cr2 0.500 0.000 0.500
Ir1 0.500 0.500 0.000

# 4
Here is a crystal of CeAl2Pd2 relaxed with PBEsol from Alexandria. Energies are from SCAN.

## Properties
E_form ... -0.952 eV/atom
Symmetry ... P4/nmm, No. 129

Lattice parameters (Å, degrees): 4.225 4.225 10.318 90.00 90.00 90.00
Fractional positions:
Ce1 0.250 0.250 0.248
Ce2 0.750 0.750 0.752
Al1 0.250 0.250 0.627
Al2 0.250 0.750 0.000
Al3 0.750 0.250 0.000
Al4 0.750 0.750 0.373
Pd1 0.250 0.250 0.866
Pd2 0.250 0.750 0.500
Pd3 0.750 0.250 0.500
Pd4 0.750 0.750 0.134

no.,DFT total energy (eV per cell),density (g/cm³)
1,-325.91,7.3
2,-128.92,5.9
3,-134.62,10.7
4,-260.75,7.3